! Ca3SmPt4 PBE-GGA optimized geometry; values from VASP
! Electronic total energy, eV per cell: -42.61
! V, A^3/atom: 21.663
! Space group: C2/m
&SYSTEM
  ibrav = 0, nat = 8, ntyp = 3
/
ATOMIC_SPECIES
Ca 40.08 Ca.upf
Sm 150.36 Sm.upf
Pt 195.08 Pt.upf
ATOMIC_POSITIONS angstrom
Ca 0.000 0.000 0.000
Ca 3.286 0.000 1.156
Ca 10.011 0.000 3.524
Sm 6.648 0.000 2.340
Pt 0.803 0.000 2.910
Pt 4.205 0.000 4.107
Pt 9.092 0.000 0.572
Pt 12.494 0.000 1.769
CELL_PARAMETERS angstrom
7.469 -2.479 0.000
7.469 2.479 0.000
-1.641 0.000 4.679

! La2TcAu PBE-GGA optimized geometry; values from VASP
! Electronic total energy, eV per cell: -24.32
! V, A^3/atom: 24.744
! Space group: C2/m
&SYSTEM
  ibrav = 0, nat = 4, ntyp = 3
/
ATOMIC_SPECIES
La 138.91 La.upf
Tc 98.00 Tc.upf
Au 196.97 Au.upf
ATOMIC_POSITIONS angstrom
La 1.839 1.839 0.000
La 1.839 -1.839 0.000
Tc -0.004 0.000 1.829
Au 3.673 0.000 1.829
CELL_PARAMETERS angstrom
3.677 -3.678 0.000
3.677 3.678 0.000
-0.008 0.000 3.659